A plane-wave DFT calculation with PBE was carried out for a geometry-optimized AgPt3Cl structure.

**Total magnetization**: 0.616 μB/f.u.
**ΔE_f (raw)**: 1.634 eV per atom
**Calculated volume**: 24.3 Å³ per atom
**Energy above the most stable polymorph in this dataset**: 0.745 eV/atom
**Uncorrected energy**: -14.65 eV per cell

Unit cell a=4.954 b=4.954 c=4.954 alpha=90.00 beta=90.00 gamma=90.00
Each line ends with the local moment (μB).
Fractional positions:
Cl (0.500, 0.500, 0.500)  0.10
Pt (0.000, 0.500, 0.000)  0.14
Pt (0.500, 0.000, 0.000)  0.09
Pt (0.000, 0.000, 0.500)  0.23
Ag (0.000, 0.000, 0.000)  0.01